i.
VASP calculation (PBE) on a relaxed structure of La8Y3Ho2.

Output
The crystal system is monoclinic. The value obtained for the density of states at the Fermi level is 21.8 states/eV per cell. The total magnetization is 0.000 μB/atom.

Unit cell a=9.037 b=9.037 c=6.174 alpha=107.01 beta=107.01 gamma=81.91
Fractional positions:
La1 0.086 0.086 0.236
La2 0.098 0.576 0.850
La3 0.360 0.360 0.384
La4 0.424 0.902 0.150
La5 0.576 0.098 0.850
La6 0.640 0.640 0.616
La7 0.902 0.424 0.150
La8 0.914 0.914 0.764
Y1 0.228 0.772 0.500
Y2 0.500 0.500 0.000
Y3 0.772 0.228 0.500
Ho1 0.186 0.186 0.818
Ho2 0.814 0.814 0.182


ii.
VASP calculation (PBE) on a relaxed structure of La8Y3Ho2.

Output
The crystal system is monoclinic. The value obtained for the density of states at the Fermi level is 17.0 states/eV per cell. The total magnetization is 0.000 μB/atom.

Unit cell a=11.007 b=11.007 c=5.851 alpha=90.02 beta=90.02 gamma=41.27
Fractional positions:
La1 0.094 0.694 0.000
La2 0.175 0.175 0.501
La3 0.306 0.906 0.000
La4 0.368 0.368 0.500
La5 0.632 0.632 0.500
La6 0.694 0.094 0.000
La7 0.825 0.825 0.499
La8 0.906 0.306 0.000
Y1 0.218 0.782 0.500
Y2 0.500 0.500 0.000
Y3 0.782 0.218 0.500
Ho1 0.260 0.260 0.001
Ho2 0.740 0.740 0.999


Which of them is most stable? Easy: i.


i.
VASP calculation (PBE) on a relaxed structure of La4Y3Ho4.

Output
The crystal system is orthorhombic. The value obtained for the density of states at the Fermi level is 18.1 states/eV per cell. The total magnetization is 0.000 μB/atom.

Unit cell a=10.750 b=6.685 c=6.685 alpha=51.02 beta=90.00 gamma=90.00
Fractional positions:
La1 0.000 0.000 0.000
La2 0.204 0.804 0.804
La3 0.500 0.921 0.921
La4 0.796 0.804 0.804
Y1 0.000 0.295 0.295
Y2 0.287 0.456 0.456
Y3 0.713 0.456 0.456
Ho1 0.000 0.593 0.593
Ho2 0.306 0.149 0.149
Ho3 0.500 0.648 0.648
Ho4 0.694 0.149 0.149


ii.
VASP calculation (PBE) on a relaxed structure of La4Y3Ho4.

Output
The crystal system is orthorhombic. The value obtained for the density of states at the Fermi level is 18.2 states/eV per cell. The total magnetization is 0.000 μB/atom.

Unit cell a=12.104 b=12.104 c=12.104 alpha=162.69 beta=133.66 gamma=49.83
Fractional positions:
La1 0.024 0.854 0.169
La2 0.315 0.146 0.169
La3 0.685 0.854 0.831
La4 0.976 0.146 0.831
Y1 0.000 0.500 0.500
Y2 0.396 0.396 0.000
Y3 0.604 0.604 0.000
Ho1 0.265 0.765 0.500
Ho2 0.315 0.000 0.315
Ho3 0.685 0.000 0.685
Ho4 0.735 0.235 0.500


Which of them is most stable? Easy: ii.


i.
VASP calculation (PBE) on a relaxed structure of LaY12Ho6.

Output
The crystal system is trigonal. The value obtained for the density of states at the Fermi level is 28.8 states/eV per cell. The total magnetization is 0.000 μB/atom.

Unit cell a=9.436 b=9.436 c=9.436 alpha=110.92 beta=110.92 gamma=110.92
Fractional positions:
La1 0.000 0.000 0.000
Y1 0.107 0.160 0.736
Y2 0.160 0.736 0.107
Y3 0.211 0.318 0.477
Y4 0.264 0.893 0.840
Y5 0.318 0.477 0.211
Y6 0.477 0.211 0.318
Y7 0.523 0.789 0.682
Y8 0.682 0.523 0.789
Y9 0.736 0.107 0.160
Y10 0.789 0.682 0.523
Y11 0.840 0.264 0.893
Y12 0.893 0.840 0.264
Ho1 0.052 0.579 0.368
Ho2 0.368 0.052 0.579
Ho3 0.421 0.632 0.948
Ho4 0.579 0.368 0.052
Ho5 0.632 0.948 0.421
Ho6 0.948 0.421 0.632


ii.
VASP calculation (PBE) on a relaxed structure of LaY12Ho6.

Output
The crystal system is trigonal. The value obtained for the density of states at the Fermi level is 34.2 states/eV per cell. The total magnetization is 0.001 μB/atom.

Unit cell a=8.561 b=8.561 c=8.561 alpha=88.07 beta=88.07 gamma=88.07
Fractional positions:
La1 0.000 0.000 0.000
Y1 0.009 0.206 0.358
Y2 0.206 0.358 0.009
Y3 0.225 0.455 0.565
Y4 0.358 0.009 0.206
Y5 0.435 0.775 0.545
Y6 0.455 0.565 0.225
Y7 0.545 0.435 0.775
Y8 0.565 0.225 0.455
Y9 0.642 0.991 0.794
Y10 0.775 0.545 0.435
Y11 0.794 0.642 0.991
Y12 0.991 0.794 0.642
Ho1 0.092 0.689 0.256
Ho2 0.256 0.092 0.689
Ho3 0.311 0.744 0.908
Ho4 0.689 0.256 0.092
Ho5 0.744 0.908 0.311
Ho6 0.908 0.311 0.744


Which of them is most stable? Easy: i.


i.
VASP calculation (PBE) on a relaxed structure of La3Y2Ho2.

Output
The crystal system is monoclinic. The value obtained for the density of states at the Fermi level is 11.2 states/eV per cell. The total magnetization is 0.000 μB/atom.

Unit cell a=9.075 b=9.075 c=8.661 alpha=117.96 beta=117.96 gamma=22.40
Fractional positions:
La1 0.000 0.000 0.000
La2 0.214 0.214 0.295
La3 0.786 0.786 0.705
Y1 0.435 0.435 0.589
Y2 0.565 0.565 0.411
Ho1 0.142 0.142 0.822
Ho2 0.858 0.858 0.178


ii.
VASP calculation (PBE) on a relaxed structure of La3Y2Ho2.

Output
The crystal system is triclinic. The value obtained for the density of states at the Fermi level is 10.5 states/eV per cell. The total magnetization is 0.000 μB/atom.

Unit cell a=3.650 b=6.311 c=10.812 alpha=84.52 beta=90.00 gamma=73.19
Fractional positions:
La1 0.000 0.000 0.000
La2 0.144 0.716 0.569
La3 0.856 0.284 0.431
Y1 0.285 0.431 0.141
Y2 0.715 0.569 0.859
Ho1 0.426 0.147 0.717
Ho2 0.574 0.853 0.283


Which of them is most stable? Easy: ii.


i.
VASP calculation (PBE) on a relaxed structure of La2Y2Ho5.

Output
The crystal system is orthorhombic. The value obtained for the density of states at the Fermi level is 28.2 states/eV per cell. The total magnetization is 0.000 μB/atom.

Unit cell a=10.145 b=10.145 c=10.145 alpha=85.00 beta=107.85 gamma=141.32
Fractional positions:
La1 0.000 0.000 0.000
La2 0.000 0.500 0.500
La3 0.080 0.837 0.743
La4 0.094 0.337 0.257
Y1 0.542 0.671 0.122
Y2 0.542 0.920 0.370
Y3 0.549 0.171 0.630
Y4 0.549 0.420 0.878
Ho1 0.124 0.032 0.375
Ho2 0.124 0.249 0.592
Ho3 0.144 0.639 0.005
Ho4 0.436 0.142 0.188
Ho5 0.436 0.748 0.794
Ho6 0.634 0.139 0.995
Ho7 0.657 0.532 0.408
Ho8 0.657 0.749 0.625
Ho9 0.954 0.248 0.812
Ho10 0.954 0.642 0.206


ii.
VASP calculation (PBE) on a relaxed structure of La2Y2Ho5.

Output
The crystal system is monoclinic. The value obtained for the density of states at the Fermi level is 13.8 states/eV per cell. The total magnetization is 0.000 μB/atom.

Unit cell a=11.007 b=11.007 c=8.307 alpha=100.16 beta=100.16 gamma=18.28
Fractional positions:
La1 0.181 0.181 0.144
La2 0.819 0.819 0.856
Y1 0.454 0.454 0.643
Y2 0.546 0.546 0.357
Ho1 0.000 0.000 0.000
Ho2 0.096 0.096 0.733
Ho3 0.309 0.309 0.467
Ho4 0.691 0.691 0.533
Ho5 0.904 0.904 0.267


Which of them is most stable? Easy: i.


i.
VASP calculation (PBE) on a relaxed structure of La2Y4Ho3.

Output
The crystal system is orthorhombic. The value obtained for the density of states at the Fermi level is 17.7 states/eV per cell. The total magnetization is 0.000 μB/atom.

Unit cell a=10.146 b=8.579 c=6.941 alpha=80.90 beta=56.61 gamma=42.49
Fractional positions:
La1 0.112 0.112 0.888
La2 0.888 0.888 0.112
Y1 0.168 0.456 0.544
Y2 0.456 0.168 0.832
Y3 0.544 0.832 0.168
Y4 0.832 0.544 0.456
Ho1 0.000 0.000 0.500
Ho2 0.500 0.500 0.000
Ho3 0.500 0.500 0.500


ii.
VASP calculation (PBE) on a relaxed structure of La2Y4Ho3.

Output
The crystal system is monoclinic. The value obtained for the density of states at the Fermi level is 26.6 states/eV per cell. The total magnetization is 0.000 μB/atom.

Unit cell a=10.111 b=10.111 c=6.176 alpha=95.28 beta=95.28 gamma=70.76
Fractional positions:
La1 0.024 0.732 0.677
La2 0.268 0.976 0.823
La3 0.732 0.024 0.177
La4 0.976 0.268 0.323
Y1 0.081 0.353 0.849
Y2 0.314 0.590 0.985
Y3 0.353 0.081 0.349
Y4 0.410 0.686 0.515
Y5 0.590 0.314 0.485
Y6 0.647 0.919 0.651
Y7 0.686 0.410 0.015
Y8 0.919 0.647 0.151
Ho1 0.099 0.901 0.250
Ho2 0.236 0.435 0.403
Ho3 0.435 0.236 0.903
Ho4 0.565 0.764 0.097
Ho5 0.764 0.565 0.597
Ho6 0.901 0.099 0.750


Which of them is most stable? Easy: ii.


i.
VASP calculation (PBE) on a relaxed structure of La3YHo6.

Output
The crystal system is trigonal. The value obtained for the density of states at the Fermi level is 21.9 states/eV per cell. The total magnetization is 0.000 μB/atom.

Unit cell a=6.922 b=6.922 c=6.922 alpha=91.67 beta=91.67 gamma=91.67
Fractional positions:
La1 0.000 0.000 0.000
La2 0.247 0.247 0.247
La3 0.495 0.495 0.495
Y1 0.747 0.747 0.747
Ho1 0.173 0.823 0.503
Ho2 0.324 0.674 0.993
Ho3 0.503 0.173 0.823
Ho4 0.674 0.993 0.324
Ho5 0.823 0.503 0.173
Ho6 0.993 0.324 0.674


ii.
VASP calculation (PBE) on a relaxed structure of La3YHo6.

Output
The crystal system is orthorhombic. The value obtained for the density of states at the Fermi level is 29.8 states/eV per cell. The total magnetization is 0.000 μB/atom.

Unit cell a=10.148 b=10.148 c=6.624 alpha=90.00 beta=90.00 gamma=95.56
Fractional positions:
La1 0.116 0.884 0.500
La2 0.249 0.364 0.763
La3 0.364 0.249 0.263
La4 0.636 0.751 0.763
La5 0.751 0.636 0.263
La6 0.884 0.116 0.000
Y1 0.323 0.677 0.387
Y2 0.677 0.323 0.887
Ho1 0.034 0.203 0.492
Ho2 0.050 0.462 0.154
Ho3 0.203 0.034 0.992
Ho4 0.273 0.727 0.880
Ho5 0.462 0.050 0.654
Ho6 0.471 0.529 0.074
Ho7 0.529 0.471 0.574
Ho8 0.538 0.950 0.154
Ho9 0.727 0.273 0.380
Ho10 0.797 0.966 0.492
Ho11 0.950 0.538 0.654
Ho12 0.966 0.797 0.992


Which of them is most stable? Easy: ii.


i.
VASP calculation (PBE) on a relaxed structure of La2Y5Ho.

Output
The crystal system is monoclinic. The value obtained for the density of states at the Fermi level is 25.6 states/eV per cell. The total magnetization is 0.000 μB/atom.

Unit cell a=9.492 b=9.492 c=6.717 alpha=98.21 beta=98.21 gamma=63.34
Fractional positions:
La1 0.171 0.672 0.884
La2 0.328 0.829 0.616
La3 0.672 0.171 0.384
La4 0.829 0.328 0.116
Y1 0.019 0.185 0.656
Y2 0.185 0.019 0.156
Y3 0.213 0.391 0.468
Y4 0.391 0.213 0.968
Y5 0.431 0.569 0.250
Y6 0.569 0.431 0.750
Y7 0.609 0.787 0.032
Y8 0.787 0.609 0.532
Y9 0.815 0.981 0.844
Y10 0.981 0.815 0.344
Ho1 0.000 0.500 0.000
Ho2 0.500 0.000 0.500


ii.
VASP calculation (PBE) on a relaxed structure of La2Y5Ho.

Output
The crystal system is orthorhombic. The value obtained for the density of states at the Fermi level is 28.5 states/eV per cell. The total magnetization is 0.000 μB/atom.

Unit cell a=6.653 b=6.653 c=15.897 alpha=90.00 beta=90.00 gamma=129.40
Fractional positions:
La1 0.215 0.785 0.629
La2 0.215 0.785 0.871
La3 0.785 0.215 0.129
La4 0.785 0.215 0.371
Y1 0.081 0.919 0.092
Y2 0.081 0.919 0.408
Y3 0.383 0.617 0.049
Y4 0.383 0.617 0.451
Y5 0.461 0.539 0.750
Y6 0.539 0.461 0.250
Y7 0.617 0.383 0.549
Y8 0.617 0.383 0.951
Y9 0.919 0.081 0.592
Y10 0.919 0.081 0.908
Ho1 0.264 0.736 0.250
Ho2 0.736 0.264 0.750


Which of them is most stable? Easy: ii.


i.
VASP calculation (PBE) on a relaxed structure of La2Y3Ho3.

Output
The crystal system is orthorhombic. The value obtained for the density of states at the Fermi level is 13.4 states/eV per cell. The total magnetization is 0.000 μB/atom.

Unit cell a=10.721 b=10.721 c=10.721 alpha=152.40 beta=152.40 gamma=39.43
Fractional positions:
La1 0.250 0.250 0.000
La2 0.750 0.750 0.000
Y1 0.000 0.000 0.000
Y2 0.378 0.878 0.500
Y3 0.622 0.122 0.500
Ho1 0.122 0.622 0.500
Ho2 0.500 0.500 0.000
Ho3 0.878 0.378 0.500


ii.
VASP calculation (PBE) on a relaxed structure of La2Y3Ho3.

Output
The crystal system is orthorhombic. The value obtained for the density of states at the Fermi level is 22.1 states/eV per cell. The total magnetization is 0.000 μB/atom.

Unit cell a=9.029 b=9.029 c=16.833 alpha=90.00 beta=90.00 gamma=156.93
Fractional positions:
La1 0.220 0.780 0.652
La2 0.220 0.780 0.848
La3 0.780 0.220 0.152
La4 0.780 0.220 0.348
Y1 0.358 0.642 0.514
Y2 0.358 0.642 0.986
Y3 0.393 0.607 0.750
Y4 0.607 0.393 0.250
Y5 0.642 0.358 0.014
Y6 0.642 0.358 0.486
Ho1 0.005 0.995 0.600
Ho2 0.005 0.995 0.900
Ho3 0.422 0.578 0.250
Ho4 0.578 0.422 0.750
Ho5 0.995 0.005 0.100
Ho6 0.995 0.005 0.400


Which of them is most stable? Easy: i.